Record 1
AcLuNO, optimized geometry, DFT GGA-PBE; SG = P4/nmm (129); E = -7.37 eV per atom; offset from the most stable computed form = 0.79 eV per formula unit; calculated volume = 145 Å³/cell
1.0
4.791 0.000 0.000
0.000 4.791 0.000
0.000 0.000 6.319
Ac Lu N O
2 2 2 2
Direct
0.250 0.750 0.000
0.750 0.250 0.000
0.250 0.250 0.469
0.750 0.750 0.531
0.250 0.250 0.140
0.750 0.750 0.860
0.250 0.750 0.500
0.750 0.250 0.500

---

Record 2
LuHfPO, optimized geometry, DFT GGA-PBE; SG = P4/nmm (129); E = -7.74 eV per atom; offset from the most stable computed form = 1.79 eV per formula unit; calculated volume = 129 Å³/cell
1.0
4.041 0.000 0.000
0.000 4.041 0.000
0.000 0.000 7.868
Lu Hf P O
2 2 2 2
Direct
0.250 0.750 0.000
0.750 0.250 0.000
0.250 0.250 0.381
0.750 0.750 0.619
0.250 0.250 0.773
0.750 0.750 0.227
0.250 0.750 0.500
0.750 0.250 0.500

---

Record 3
GdYGa, optimized geometry, DFT GGA-PBE; SG = F-43m (216); E = -4.98 eV per atom; offset from the most stable computed form = 0.00 eV per formula unit; calculated volume = 87 Å³/cell
1.0
0.000 3.520 3.520
3.520 0.000 3.520
3.520 3.520 0.000
Gd Y Ga
1 1 1
Direct
0.000 0.000 0.000
0.500 0.500 0.500
0.250 0.250 0.250

---

Record 4
DyInAg2O4, optimized geometry, DFT GGA-PBE; SG = P-3m1 (164); E = -5.75 eV per atom; calculated volume = 126 Å³/cell
1.0
3.399 0.000 0.000
-1.700 2.944 0.000
0.000 0.000 12.598
Dy In Ag O
1 1 2 4
Direct
0.000 0.000 0.000
0.000 0.000 0.500
0.333 0.667 0.252
0.667 0.333 0.748
0.333 0.667 0.087
0.333 0.667 0.417
0.667 0.333 0.583
0.667 0.333 0.913

---

Record 5
Sm2ErSe3, optimized geometry, DFT GGA-PBE; SG = P-3m1 (164); E = -5.85 eV per atom; calculated volume = 148 Å³/cell
1.0
4.105 0.000 0.000
-2.053 3.555 0.000
0.000 0.000 10.160
Sm Er Se
2 1 3
Direct
0.333 0.667 0.169
0.667 0.333 0.831
0.000 0.000 0.500
0.000 0.000 0.000
0.333 0.667 0.656
0.667 0.333 0.344

---

Record 6
LuThPa, optimized geometry, DFT GGA-PBE; SG = F-43m (216); calculated formation energy = 1013 meV per atom; E = -6.13 eV per atom; calculated volume = 101 Å³/cell
1.0
0.000 3.695 3.695
3.695 0.000 3.695
3.695 3.695 0.000
Lu Th Pa
1 1 1
Direct
0.000 0.000 0.000
0.500 0.500 0.500
0.250 0.250 0.250

---

Record 7
PrHo2Cd3AgAu2, optimized geometry, DFT GGA-PBE; SG = Amm2 (38); calculated formation energy = -569 meV per atom; E = -3.45 eV per atom; calculated volume = 210 Å³/cell
1.0
3.879 0.000 0.000
0.000 6.879 3.931
0.000 -6.879 3.931
Pr Ho Cd Ag Au
1 2 3 1 2
Direct
0.000 0.000 0.000
0.000 0.185 0.593
0.000 0.593 0.185
0.500 0.335 0.335
0.500 0.590 0.854
0.500 0.854 0.590
0.000 0.591 0.591
0.500 0.267 0.925
0.500 0.925 0.267

---

Record 8
TbErSi2Pt4, optimized geometry, DFT GGA-PBE; SG = Amm2 (38); E = -6.70 eV per atom; calculated volume = 140 Å³/cell
1.0
7.098 0.000 0.000
0.000 1.934 5.098
0.000 -1.934 5.098
Tb Er Si Pt
1 1 2 4
Direct
0.000 0.000 0.000
0.500 0.104 0.104
0.000 0.283 0.283
0.500 0.821 0.821
0.201 0.695 0.695
0.301 0.409 0.409
0.699 0.409 0.409
0.799 0.695 0.695

---

Record 9
HfZn, optimized geometry, DFT GGA-PBE; SG = Pmm2 (25); calculated formation energy = -20 meV per atom; E = -5.63 eV per atom; calculated volume = 144 Å³/cell
1.0
4.551 0.000 0.000
0.000 6.940 0.000
0.000 0.000 4.554
Hf Zn
4 4
Direct
0.000 0.000 0.000
0.000 0.271 0.500
0.000 0.729 0.500
0.500 0.000 0.502
0.000 0.500 0.999
0.500 0.271 0.002
0.500 0.500 0.503
0.500 0.729 0.002

---

Record 10
HfHgNO, optimized geometry, DFT GGA-PBE; SG = P4/nmm (129); E = -6.60 eV per atom; offset from the most stable computed form = 2.09 eV per formula unit; calculated volume = 109 Å³/cell
1.0
3.566 0.000 0.000
0.000 3.566 0.000
0.000 0.000 8.571
Hf Hg N O
2 2 2 2
Direct
0.250 0.250 0.143
0.750 0.750 0.857
0.250 0.750 0.500
0.750 0.250 0.500
0.250 0.250 0.768
0.750 0.750 0.232
0.250 0.750 0.000
0.750 0.250 0.000

---

Record 11
Zr2SnIr, optimized geometry, DFT GGA-PBE; SG = F-43m (216); E = -7.75 eV per atom; calculated volume = 79 Å³/cell
1.0
0.000 3.406 3.406
3.406 0.000 3.406
3.406 3.406 0.000
Zr Sn Ir
2 1 1
Direct
0.000 0.000 0.000
0.250 0.250 0.250
0.500 0.500 0.500
0.750 0.750 0.750

---

Record 12
DyTcAs, optimized geometry, DFT GGA-PBE; SG = F-43m (216); E = -5.90 eV per atom; offset from the most stable computed form = 2.55 eV per formula unit; calculated volume = 69 Å³/cell
1.0
0.000 3.262 3.262
3.262 0.000 3.262
3.262 3.262 0.000
Dy Tc As
1 1 1
Direct
0.000 0.000 0.000
0.250 0.250 0.250
0.750 0.750 0.750

---

Record 13
YHoZn6, optimized geometry, DFT GGA-PBE; SG = P4/mmm (123); calculated formation energy = -293 meV per atom; E = -2.62 eV per atom; calculated volume = 143 Å³/cell
1.0
4.660 0.000 0.000
0.000 4.660 0.000
0.000 0.000 6.591
Y Ho Zn
1 1 6
Direct
0.000 0.000 0.000
0.500 0.500 0.500
0.000 0.000 0.500
0.000 0.500 0.252
0.000 0.500 0.748
0.500 0.000 0.252
0.500 0.000 0.748
0.500 0.500 0.000

---

Record 14
NaHfFeSb, optimized geometry, DFT GGA-PBE; SG = F-43m (216); E = -5.83 eV per atom; offset from the most stable computed form = 0.00 eV per formula unit; calculated volume = 67 Å³/cell
1.0
0.000 3.229 3.229
3.229 0.000 3.229
3.229 3.229 0.000
Na Hf Fe Sb
1 1 1 1
Direct
0.000 0.000 0.000
0.250 0.250 0.250
0.500 0.500 0.500
0.750 0.750 0.750

---

Record 15
Sc2CuSn, optimized geometry, DFT GGA-PBE; SG = F-43m (216); E = -5.13 eV per atom; calculated volume = 80 Å³/cell
1.0
0.000 3.420 3.420
3.420 0.000 3.420
3.420 3.420 0.000
Sc Cu Sn
2 1 1
Direct
0.000 0.000 0.000
0.250 0.250 0.250
0.500 0.500 0.500
0.750 0.750 0.750

---

Record 16
GaSiMo4C2, optimized geometry, DFT GGA-PBE; SG = P-6m2 (187); E = -8.91 eV per atom; calculated volume = 106 Å³/cell
1.0
3.092 0.000 0.000
-1.546 2.678 0.000
0.000 0.000 12.784
Ga Si Mo C
1 1 4 2
Direct
0.000 0.000 0.000
0.333 0.667 0.500
0.000 0.000 0.351
0.000 0.000 0.649
0.333 0.667 0.168
0.333 0.667 0.832
0.667 0.333 0.256
0.667 0.333 0.744

---

Record 17
Zr2Ga2Au, optimized geometry, DFT GGA-PBE; SG = P4/mbm (127); E = -5.90 eV per atom; calculated volume = 187 Å³/cell
1.0
6.677 0.000 0.000
0.000 6.677 0.000
0.000 0.000 4.196
Zr Ga Au
4 4 2
Direct
0.167 0.333 0.000
0.333 0.833 0.000
0.667 0.167 0.000
0.833 0.667 0.000
0.134 0.634 0.500
0.366 0.134 0.500
0.634 0.866 0.500
0.866 0.366 0.500
0.000 0.000 0.500
0.500 0.500 0.500

---

Record 18
ErLuAl, optimized geometry, DFT GGA-PBE; SG = Pnma (62); E = -4.58 eV per atom; offset from the most stable computed form = 0.00 eV per formula unit; calculated volume = 301 Å³/cell
1.0
6.458 0.000 0.000
0.000 5.010 0.000
0.000 0.000 9.306
Er Lu Al
4 4 4
Direct
0.188 0.250 0.072
0.312 0.750 0.572
0.688 0.250 0.428
0.812 0.750 0.928
0.028 0.250 0.712
0.472 0.750 0.212
0.528 0.250 0.788
0.972 0.750 0.288
0.206 0.250 0.396
0.294 0.750 0.896
0.706 0.250 0.104
0.794 0.750 0.604

---

Record 19
KHfCuF7, optimized geometry, DFT GGA-PBE; SG = Cmcm (63); E = -5.71 eV per atom; calculated volume = 494 Å³/cell
1.0
3.987 -6.273 0.000
3.987 6.273 0.000
0.000 0.000 9.870
K Hf Cu F
4 4 4 28
Direct
0.136 0.335 0.250
0.335 0.136 0.750
0.665 0.864 0.250
0.864 0.665 0.750
0.366 0.634 0.569
0.366 0.634 0.931
0.634 0.366 0.069
0.634 0.366 0.431
0.134 0.866 0.072
0.134 0.866 0.428
0.866 0.134 0.572
0.866 0.134 0.928
0.000 0.000 0.000
0.000 0.000 0.500
0.073 0.927 0.250
0.134 0.387 0.512
0.134 0.387 0.988
0.207 0.793 0.616
0.207 0.793 0.884
0.218 0.486 0.750
0.282 0.718 0.119
0.282 0.718 0.381
0.387 0.134 0.012
0.387 0.134 0.488
0.475 0.525 0.115
0.475 0.525 0.385
0.486 0.218 0.250
0.514 0.782 0.750
0.525 0.475 0.615
0.525 0.475 0.885
0.613 0.866 0.512
0.613 0.866 0.988
0.718 0.282 0.619
0.718 0.282 0.881
0.782 0.514 0.250
0.793 0.207 0.116
0.793 0.207 0.384
0.866 0.613 0.012
0.866 0.613 0.488
0.927 0.073 0.750

---

Record 20
LaUSn6, optimized geometry, DFT GGA-PBE; SG = P4/mmm (123); E = -5.38 eV per atom; calculated volume = 211 Å³/cell
1.0
4.722 0.000 0.000
0.000 4.722 0.000
0.000 0.000 9.466
La U Sn
1 1 6
Direct
0.000 0.000 0.000
0.000 0.000 0.500
0.000 0.500 0.259
0.000 0.500 0.741
0.500 0.000 0.259
0.500 0.000 0.741
0.500 0.500 0.000
0.500 0.500 0.500

---

Record 21
La2Pr2CBrF4, optimized geometry, DFT GGA-PBE; SG = C2/m (12); E = -6.22 eV per atom; calculated volume = 201 Å³/cell
1.0
7.540 -1.942 0.000
7.540 1.942 0.000
-4.365 0.000 6.868
La Pr C Br F
2 2 1 1 4
Direct
0.196 0.196 0.178
0.804 0.804 0.822
0.490 0.490 0.785
0.510 0.510 0.215
0.000 0.000 0.000
0.000 0.000 0.500
0.296 0.296 0.629
0.315 0.315 0.035
0.685 0.685 0.965
0.704 0.704 0.371

---

Record 22
NaAu5, optimized geometry, DFT GGA-PBE; SG = P6/mmm (191); E = -3.15 eV per atom; calculated volume = 128 Å³/cell
1.0
5.639 0.000 0.000
-2.819 4.883 0.000
0.000 0.000 4.631
Na Au
1 5
Direct
0.000 0.000 0.000
0.000 0.500 0.500
0.333 0.667 0.000
0.500 0.000 0.500
0.500 0.500 0.500
0.667 0.333 0.000

---

Record 23
RbTm4CS2, optimized geometry, DFT GGA-PBE; SG = P-3m1 (164); E = -5.47 eV per atom; calculated volume = 200 Å³/cell
1.0
3.655 0.000 0.000
-1.828 3.166 0.000
0.000 0.000 17.302
Rb Tm C S
1 4 1 2
Direct
0.000 0.000 0.000
0.333 0.667 0.212
0.333 0.667 0.425
0.667 0.333 0.575
0.667 0.333 0.788
0.000 0.000 0.500
0.333 0.667 0.685
0.667 0.333 0.315

---

Record 24
ZnMoPd2, optimized geometry, DFT GGA-PBE; SG = F-43m (216); calculated formation energy = 13 meV per atom; E = -5.60 eV per atom; calculated volume = 60 Å³/cell
1.0
0.000 3.111 3.111
3.111 0.000 3.111
3.111 3.111 0.000
Zn Mo Pd
1 1 2
Direct
0.000 0.000 0.000
0.250 0.250 0.250
0.500 0.500 0.500
0.750 0.750 0.750